# PrSm2SnN4

A relaxed structure of PrSm2SnN4 (PBE, Alexandria).

Calculated values
The calculated volume is 16.84 A^3/atom. The calculated total energy is -7.2391 eV per atom.

a = 6.277 Å, b = 6.277 Å, c = 12.292 Å
α = 90.00°, β = 90.00°, γ = 146.21°
Atoms (fractional coordinates):
Pr: 0.112 0.888 0.750
Pr: 0.888 0.112 0.250
Sm: 0.371 0.629 0.537
Sm: 0.371 0.629 0.963
Sm: 0.629 0.371 0.037
Sm: 0.629 0.371 0.463
Sn: 0.151 0.849 0.250
Sn: 0.849 0.151 0.750
N: 0.000 0.000 0.000
N: 0.000 0.000 0.500
N: 0.270 0.730 0.125
N: 0.270 0.730 0.375
N: 0.444 0.556 0.750
N: 0.556 0.444 0.250
N: 0.730 0.270 0.625
N: 0.730 0.270 0.875